1.
## AlFe6Si (GGA-PBEsol)

Data for an optimized crystal structure of AlFe6Si.

Cell and atoms, written as CIF:
```
data_AlFe6Si
_cell_length_a 7.106
_cell_length_b 10.084
_cell_length_c 10.084
_cell_angle_alpha 90.00
_cell_angle_beta 90.00
_cell_angle_gamma 90.00
_symmetry_space_group_name_H-M 'C m m m'
_symmetry_Int_Tables_number 65
_symmetry_space_group_name_Hall '-C 2 2'
loop_
_atom_site_label
_atom_site_type_symbol
_atom_site_fract_x
_atom_site_fract_y
_atom_site_fract_z
Al1 Al 0.000 0.000 0.250
Al2 Al 0.000 0.247 0.000
Fe1 Fe 0.000 0.000 0.000
Fe2 Fe 0.000 0.000 0.500
Fe3 Fe 0.000 0.250 0.254
Fe4 Fe 0.000 0.500 0.000
Fe5 Fe 0.000 0.500 0.500
Fe6 Fe 0.246 0.375 0.127
Fe7 Fe 0.247 0.375 0.377
Si1 Si 0.000 0.247 0.500
Si2 Si 0.000 0.500 0.250
```

## Properties
- formation energy from raw total energies (eV per atom) = -0.22
- volume (Å³ per cell) = 722.55

***

2.
## AlFeSi (GGA-PBEsol)

Data for an optimized crystal structure of AlFeSi.

Cell and atoms, written as CIF:
```
data_AlFeSi
_cell_length_a 3.032
_cell_length_b 3.032
_cell_length_c 7.797
_cell_angle_alpha 90.00
_cell_angle_beta 90.00
_cell_angle_gamma 90.00
_symmetry_space_group_name_H-M 'I 4 m m'
_symmetry_Int_Tables_number 107
_symmetry_space_group_name_Hall 'I 4 -2'
loop_
_atom_site_label
_atom_site_type_symbol
_atom_site_fract_x
_atom_site_fract_y
_atom_site_fract_z
Al1 Al 0.000 0.000 0.000
Fe1 Fe 0.000 0.000 0.674
Si1 Si 0.000 0.000 0.315
```

## Properties
- formation energy from raw total energies (eV per atom) = -0.41
- volume (Å³ per cell) = 71.66